The following is a DFT calculation (PBE+U) of an optimized crystal structure of YWO5.

The structure in CIF format:
```
data_YWO5
_chemical_formula_sum 'Y2 W2 O10'
_cell_length_a 3.8633
_cell_length_b 6.6504
_cell_length_c 8.2487
_cell_angle_alpha 90.00
_cell_angle_beta 90.00
_cell_angle_gamma 90.00
_symmetry_space_group_name_H-M 'I m m m'
_symmetry_Int_Tables_number 71
_symmetry_space_group_name_Hall '-I 2 2'
loop_
_atom_site_label
_atom_site_fract_x
_atom_site_fract_y
_atom_site_fract_z
Y1 0.0000 0.0000 0.0000
W1 0.0000 0.0000 0.5000
O1 0.0000 0.0000 0.2690
O2 0.0000 0.2938 0.5000
O3 0.0000 0.5000 0.0000
```

Properties
Its volume is 211.9 Å³ per cell. The value obtained for the magnetic moment is 1.0 μB per formula unit. The distance to the lowest polymorph of the same formula comes out at 33 meV per atom.